The following is a GGA+U calculation of a relaxed structure of FeS2ClF, from Alexandria via LeMat-Bulk.

Summary:
The value obtained for the calculated total energy is -3.115 eV per atom.

a = 4.1075 Å, b = 4.1075 Å, c = 5.5577 Å
α = 90.00°, β = 90.00°, γ = 90.00°
Last column: nearest neighbours and their distance in Å.
Space group P4/mmm (No. 123)
Unique sites:
Fe 0.0000 0.0000 0.0000  4 Cl 2.90
S 0.0000 0.5000 0.5000  2 F 2.05
Cl 0.5000 0.5000 0.0000  2 F 2.78, 4 Fe 2.90
F 0.5000 0.5000 0.5000  4 S 2.05

=====

The following is a GGA+U calculation of a relaxed structure of FeSCl2F, from Alexandria via LeMat-Bulk.

Summary:
The value obtained for the calculated total energy is -2.815 eV per atom.

a = 5.3226 Å, b = 5.3226 Å, c = 3.6244 Å
α = 90.00°, β = 90.00°, γ = 90.00°
Last column: nearest neighbours and their distance in Å.
Space group P4/mmm (No. 123)
Unique sites:
Fe 0.0000 0.0000 0.0000  8 Cl 3.22
S 0.5000 0.5000 0.0000  2 F 1.81
Cl 0.0000 0.5000 0.5000  2 F 2.66
F 0.5000 0.5000 0.5000  2 S 1.81

=====

The following is a GGA+U calculation of a relaxed structure of FeSn2ClF, from Alexandria via LeMat-Bulk.

Summary:
The value obtained for the calculated total energy is -3.152 eV per atom.

a = 5.3105 Å, b = 5.3105 Å, c = 4.6502 Å
α = 90.00°, β = 90.00°, γ = 90.00°
Last column: nearest neighbours and their distance in Å.
Space group P4/mmm (No. 123)
Unique sites:
Fe 0.0000 0.0000 0.0000  8 Sn 3.53, 4 F 3.76
Sn 0.0000 0.5000 0.5000  2 Cl 2.66
Cl 0.5000 0.5000 0.5000  2 F 2.33
F 0.5000 0.5000 0.0000  2 Cl 2.33

=====

The following is a GGA+U calculation of a relaxed structure of FeTe2ClF, from Alexandria via LeMat-Bulk.

Summary:
The value obtained for the calculated total energy is -3.177 eV per atom.

a = 6.1352 Å, b = 6.1352 Å, c = 3.6272 Å
α = 90.00°, β = 90.00°, γ = 90.00°
Last column: nearest neighbours and their distance in Å.
Space group P4/mmm (No. 123)
Unique sites:
Fe 0.0000 0.0000 0.0000  2 F 1.81
Te 0.0000 0.5000 0.5000  2 F 3.07
Cl 0.5000 0.5000 0.0000  8 Te 3.56, 2 Cl 3.63
F 0.0000 0.0000 0.5000  2 Fe 1.81

=====

The following is a GGA+U calculation of a relaxed structure of Tl2FeClF3, from Alexandria via LeMat-Bulk.

Summary:
The value obtained for the calculated total energy is -4.307 eV per atom.

a = 4.0948 Å, b = 4.9979 Å, c = 14.3255 Å
α = 90.00°, β = 90.00°, γ = 90.00°
Last column: nearest neighbours and their distance in Å.
Space group Immm (No. 71)
Unique sites:
Tl 0.0000 0.0000 0.1644  1 F 2.68
Fe 0.0000 0.0000 0.5000  4 F 2.05-2.13
Cl 0.0000 0.5000 0.5000  2 Fe 2.50
F 0.0000 0.0000 0.3514  1 Fe 2.13
F 0.0000 0.5000 0.0000  2 Fe 2.05

=====

The following is a GGA+U calculation of a relaxed structure of TlFeClF2, from Alexandria via LeMat-Bulk.

Summary:
The value obtained for the calculated total energy is -3.452 eV per atom.

a = 4.4258 Å, b = 4.4258 Å, c = 6.2225 Å
α = 90.00°, β = 90.00°, γ = 90.00°
Last column: nearest neighbours and their distance in Å.
Space group P4/mmm (No. 123)
Unique sites:
Tl 0.0000 0.0000 0.0000  4 F 2.21
Fe 0.0000 0.0000 0.5000  2 Tl 3.11, 4 Cl 3.13
Cl 0.5000 0.5000 0.5000  4 Fe 3.13
F 0.0000 0.5000 0.0000  2 Tl 2.21

=====

The following is a GGA+U calculation of a relaxed structure of Tl2FeCl2F2, from Alexandria via LeMat-Bulk.

Summary:
The value obtained for the calculated total energy is -4.143 eV per atom.

a = 12.7007 Å, b = 3.8923 Å, c = 7.6837 Å
α = 90.00°, β = 119.93°, γ = 90.00°
Last column: nearest neighbours and their distance in Å.
Space group C2/m (No. 12)
Unique sites:
Tl 0.1784 0.0000 0.2116  3 F 2.67-2.73
Fe 0.0000 0.0000 0.5000  2 F 1.99
Cl 0.0497 0.5000 0.7579  2 Fe 2.62
F 0.1723 0.0000 0.5620  1 Fe 1.99

=====

The following is a GGA+U calculation of a relaxed structure of TlFeClF2, from Alexandria via LeMat-Bulk.

Summary:
The value obtained for the calculated total energy is -4.287 eV per atom.

a = 4.2902 Å, b = 4.2902 Å, c = 5.0159 Å
α = 90.00°, β = 90.00°, γ = 90.00°
Last column: nearest neighbours and their distance in Å.
Space group P4/mmm (No. 123)
Unique sites:
Tl 0.0000 0.0000 0.0000  4 Cl 3.03, 8 F 3.30
Fe 0.5000 0.5000 0.5000  4 F 2.15
Cl 0.5000 0.5000 0.0000  2 Fe 2.51
F 0.0000 0.5000 0.5000  2 Fe 2.15

=====

The following is a GGA+U calculation of a relaxed structure of ZrFeClF2, from Alexandria via LeMat-Bulk.

Summary:
The value obtained for the calculated total energy is -5.574 eV per atom.

a = 4.1596 Å, b = 4.1596 Å, c = 5.4972 Å
α = 90.00°, β = 90.00°, γ = 90.00°
Last column: nearest neighbours and their distance in Å.
Space group P4/mmm (No. 123)
Unique sites:
Zr 0.0000 0.0000 0.0000  4 F 2.08
Fe 0.0000 0.0000 0.5000  2 Zr 2.75, 4 Cl 2.94
Cl 0.5000 0.5000 0.5000  4 Fe 2.94
F 0.0000 0.5000 0.0000  2 Zr 2.08